Record 1
Below is a relaxed PmPtAu crystal, with properties calculated at the PBE level. Values from VASP.

```
&SYSTEM
  ibrav = 0, nat = 3, ntyp = 3
/
ATOMIC_SPECIES
Pt 195.08 Pt.upf
Pm 145.00 Pm.upf
Au 196.97 Au.upf
CELL_PARAMETERS angstrom
0.0000 3.3825 3.3825
3.3825 0.0000 3.3825
3.3825 3.3825 0.0000
ATOMIC_POSITIONS angstrom
Pt 5.0737 5.0737 5.0737
Pm 0.0000 0.0000 0.0000
Au 1.6912 1.6912 1.6912
```

Values from the calculation:
SG: F-43m, No. 216
energy above the lowest structure with this stoichiometry: 0.307 eV per atom
ΔE_f: -0.505 eV per atom
DFT total energy: -15.58 eV per cell
total magnetization: 0.000 μB/atom

---

Record 2
Below is a relaxed PmPtAu crystal, with properties calculated at the PBE level. Values from VASP.

```
&SYSTEM
  ibrav = 0, nat = 3, ntyp = 3
/
ATOMIC_SPECIES
Pt 195.08 Pt.upf
Pm 145.00 Pm.upf
Au 196.97 Au.upf
CELL_PARAMETERS angstrom
-3.8574 -2.6708 0.2258
-4.2215 2.0060 0.4675
-3.0345 -0.0509 -3.5851
ATOMIC_POSITIONS angstrom
Pt 0.0000 0.0000 0.0000
Pm -8.3350 -0.5367 -2.1688
Au -2.7783 -0.1789 -0.7229
```

Values from the calculation:
SG: F-43m, No. 216
energy above the lowest structure with this stoichiometry: 0.000 eV per atom
ΔE_f: -0.812 eV per atom
DFT total energy: -16.50 eV per cell
total magnetization: 0.001 μB/atom

---

Record 3
Below is a relaxed PmPuAu crystal, with properties calculated at the PBE level. Values from VASP.

```
&SYSTEM
  ibrav = 0, nat = 3, ntyp = 3
/
ATOMIC_SPECIES
Pm 145.00 Pm.upf
Pu 244.00 Pu.upf
Au 196.97 Au.upf
CELL_PARAMETERS angstrom
2.5016 1.0463 4.0968
2.9880 3.8977 0.1257
-1.2092 3.9368 2.6788
ATOMIC_POSITIONS angstrom
Pm 3.2103 6.6606 5.1759
Pu 0.0000 0.0000 0.0000
Au 1.0701 2.2202 1.7253
```

Values from the calculation:
SG: F-43m, No. 216
energy above the lowest structure with this stoichiometry: 0.000 eV per atom
ΔE_f: 0.049 eV per atom
DFT total energy: -21.99 eV per cell
total magnetization: 1.998 μB/atom

---

Q: Which formula does entry 2 have?
A: PmPtAu